Entry 1:
A relaxed structure of VCo4Ru. Source: Alexandria via LeMat-Bulk, functional GGA-PBE.

The structure in extended XYZ format:
```
6
Lattice="4.036 0.000 0.000 -2.018 3.496 0.000 0.000 0.000 4.995" Properties=species:S:1:pos:R:3 pbc="T T T"
V 0.000 0.000 0.000
Co 0.000 2.330 1.233
Co 0.000 2.330 3.762
Co 2.018 1.165 1.233
Co 2.018 1.165 3.762
Ru 0.000 0.000 2.497
```

The energy of formation is -0.020 eV/atom. As for the electronic total energy: -46.94 eV/cell. The calculation puts the energy above the most stable polymorph in this dataset at 0 meV per atom.

***

Entry 2:
A relaxed structure of VCoRu2. Source: Alexandria via LeMat-Bulk, functional GGA-PBE.

The structure in extended XYZ format:
```
4
Lattice="3.007 0.000 0.000 0.000 3.007 0.000 0.000 0.000 5.862" Properties=species:S:1:pos:R:3 pbc="T T T"
V 0.000 0.000 0.000
Co 0.000 0.000 2.931
Ru 1.504 1.504 1.449
Ru 1.504 1.504 4.413
```

The energy of formation is -0.004 eV/atom. As for the electronic total energy: -34.79 eV/cell.

***

Entry 3:
A relaxed structure of VCo3Ru. Source: Alexandria via LeMat-Bulk, functional GGA-PBE.

The structure in extended XYZ format:
```
10
Lattice="-2.167 2.167 8.441 2.167 -2.167 8.441 2.167 2.167 -8.441" Properties=species:S:1:pos:R:3 pbc="T T T"
V 0.000 0.000 0.000
V 0.000 2.167 4.220
Co 2.167 0.000 1.499
Co 0.000 1.066 2.116
Co 2.167 0.000 6.942
Co -1.101 2.167 6.324
Co 1.101 2.167 6.324
Co 0.000 3.268 2.116
Ru 0.000 0.000 5.809
Ru 0.000 0.000 11.072
```

The energy of formation is 0.819 eV/atom. As for the electronic total energy: -71.23 eV/cell. The calculation puts the energy above the most stable polymorph in this dataset at 454 meV per atom.